No. 1
# HfMnAs2Se (GGA-PBE, optimized geometry)
data_HfMnAs2Se
_chemical_formula_sum 'Hf1 Mn1 As2 Se1'
_space_group_name_H-M_alt 'P 4/m m m'
_space_group_IT_number 123
_space_group_name_Hall '-P 4 2'
_cell_length_a 4.6236
_cell_length_b 4.6236
_cell_length_c 4.8315
_cell_angle_alpha 90.00
_cell_angle_beta 90.00
_cell_angle_gamma 90.00
loop_
_atom_site_label
_atom_site_fract_x
_atom_site_fract_y
_atom_site_fract_z
_atom_site_occupancy
Hf1 0.0000 0.0000 0.0000 1
Mn1 0.5000 0.5000 0.5000 1
As1 0.0000 0.5000 0.5000 1
Se1 0.5000 0.5000 0.0000 1
# E_form (uncorrected) = 1.28 eV per formula unit
# raw total energy = -6.125 eV/atom
# relative energy among the computed polymorphs = 0.0 meV per atom
# DOS(E_F) = 2.86 states/eV/cell


No. 2
# HfMnAsSe2 (GGA-PBE, optimized geometry)
data_HfMnAsSe2
_chemical_formula_sum 'Hf1 Mn1 As1 Se2'
_space_group_name_H-M_alt 'P 4/m m m'
_space_group_IT_number 123
_space_group_name_Hall '-P 4 2'
_cell_length_a 5.1219
_cell_length_b 5.1219
_cell_length_c 5.2078
_cell_angle_alpha 90.00
_cell_angle_beta 90.00
_cell_angle_gamma 90.00
loop_
_atom_site_label
_atom_site_fract_x
_atom_site_fract_y
_atom_site_fract_z
_atom_site_occupancy
Hf1 0.0000 0.0000 0.0000 1
Mn1 0.5000 0.5000 0.5000 1
As1 0.0000 0.0000 0.5000 1
Se1 0.0000 0.5000 0.0000 1
# E_form (uncorrected) = 0.26 eV per formula unit
# raw total energy = -6.096 eV/atom
# relative energy among the computed polymorphs = 0.0 meV per atom
# DOS(E_F) = 2.97 states/eV/cell


No. 3
# HfMnAsSe2 (GGA-PBE, optimized geometry)
data_HfMnAsSe2
_chemical_formula_sum 'Hf1 Mn1 As1 Se2'
_space_group_name_H-M_alt 'P 4/m m m'
_space_group_IT_number 123
_space_group_name_Hall '-P 4 2'
_cell_length_a 4.7113
_cell_length_b 4.7113
_cell_length_c 4.7365
_cell_angle_alpha 90.00
_cell_angle_beta 90.00
_cell_angle_gamma 90.00
loop_
_atom_site_label
_atom_site_fract_x
_atom_site_fract_y
_atom_site_fract_z
_atom_site_occupancy
Hf1 0.0000 0.0000 0.0000 1
Mn1 0.5000 0.5000 0.5000 1
As1 0.5000 0.5000 0.0000 1
Se1 0.0000 0.5000 0.5000 1
# E_form (uncorrected) = 0.88 eV per formula unit
# raw total energy = -5.973 eV/atom
# relative energy among the computed polymorphs = 123.2 meV per atom
# DOS(E_F) = 3.21 states/eV/cell


No. 4
# SrHfMnAs2 (GGA-PBE, optimized geometry)
data_SrHfMnAs2
_chemical_formula_sum 'Sr1 Hf1 Mn1 As2'
_space_group_name_H-M_alt 'P 4/m m m'
_space_group_IT_number 123
_space_group_name_Hall '-P 4 2'
_cell_length_a 4.9492
_cell_length_b 4.9492
_cell_length_c 4.6501
_cell_angle_alpha 90.00
_cell_angle_beta 90.00
_cell_angle_gamma 90.00
loop_
_atom_site_label
_atom_site_fract_x
_atom_site_fract_y
_atom_site_fract_z
_atom_site_occupancy
Sr1 0.0000 0.0000 0.0000 1
Hf1 0.5000 0.5000 0.0000 1
Mn1 0.5000 0.5000 0.5000 1
As1 0.0000 0.5000 0.5000 1
# raw total energy = -5.965 eV/atom
# DOS(E_F) = 4.82 states/eV/cell
# ΔE_f = 56 meV per atom


No. 5
# Hf2MoAs2 (GGA-PBE, optimized geometry)
data_Hf2MoAs2
_chemical_formula_sum 'Hf4 Mo2 As4'
_space_group_name_H-M_alt 'P 4/m b m'
_space_group_IT_number 127
_space_group_name_Hall '-P 4 2ab'
_cell_length_a 6.9355
_cell_length_b 6.9355
_cell_length_c 3.6880
_cell_angle_alpha 90.00
_cell_angle_beta 90.00
_cell_angle_gamma 90.00
loop_
_atom_site_label
_atom_site_fract_x
_atom_site_fract_y
_atom_site_fract_z
_atom_site_occupancy
Hf1 0.1577 0.3423 0.0000 1
Mo1 0.0000 0.0000 0.5000 1
As1 0.1474 0.6474 0.5000 1
# raw total energy = -8.635 eV/atom
# DOS(E_F) = 4.63 states/eV/cell
# ΔE_f = -628 meV per atom


No. 6
# HfMoAs3 (GGA-PBE, optimized geometry)
data_HfMoAs3
_chemical_formula_sum 'Hf1 Mo1 As3'
_space_group_name_H-M_alt 'P m -3 m'
_space_group_IT_number 221
_space_group_name_Hall '-P 4 2 3'
_cell_length_a 4.8432
_cell_length_b 4.8432
_cell_length_c 4.8432
_cell_angle_alpha 90.00
_cell_angle_beta 90.00
_cell_angle_gamma 90.00
loop_
_atom_site_label
_atom_site_fract_x
_atom_site_fract_y
_atom_site_fract_z
_atom_site_occupancy
Hf1 0.0000 0.0000 0.0000 1
Mo1 0.5000 0.5000 0.5000 1
As1 0.0000 0.5000 0.5000 1
# raw total energy = -6.343 eV/atom
# relative energy among the computed polymorphs = 0.0 meV per atom
# DOS(E_F) = 6.66 states/eV/cell
# ΔE_f = 604 meV per atom